First-principles (PBE-GGA) data for a relaxed structure of MnNi2Ru, as listed in Alexandria.

Cell lengths 5.7350, 5.7350, 5.7350 Å; angles 90.00, 90.00, 90.00 degrees
With the nearest neighbours (Å) after each atom.
Space group Fm-3m (No. 225)
Inequivalent atoms, fractional coordinates:
Mn  0.0000  0.0000  0.0000  8 Ni 2.48
Ni  0.2500  0.2500  0.2500  4 Ru 2.48, 4 Mn 2.48
Ru  0.0000  0.0000  0.5000  8 Ni 2.48

Summary:
For the mass density, the calculation gives 9.63 g/cm³. The value obtained for the spin magnetization is 0.00 Bohr magnetons per cell. Its density of states at the Fermi level is 6.202 states/eV/f.u. As for the total energy: -7.17 eV per atom.